(1)
PBE NiSnW2, optimized geometry; ρ = 14.12 g/cm³; raw total energy = -8.46 eV/atom; calculated volume = 64.1 Å³ per cell
1.0
0.0000 3.1768 3.1768
3.1768 0.0000 3.1768
3.1768 3.1768 0.0000
Ni Sn W
1 1 2
Direct
0.2500 0.2500 0.2500
0.5000 0.5000 0.5000
0.0000 0.0000 0.0000
0.7500 0.7500 0.7500

(2)
PBE YNi2Sn, optimized geometry; ρ = 7.56 g/cm³; raw total energy = -5.52 eV/atom; calculated volume = 71.4 Å³ per cell
1.0
0.0000 3.2922 3.2922
3.2922 0.0000 3.2922
3.2922 3.2922 0.0000
Ni Sn Y
2 1 1
Direct
0.0000 0.0000 0.0000
0.7500 0.7500 0.7500
0.5000 0.5000 0.5000
0.2500 0.2500 0.2500

(3)
PBE Y2Ni2Sn, optimized geometry; ρ = 6.86 g/cm³; raw total energy = -6.21 eV/atom; calculated volume = 100.2 Å³ per cell
1.0
-2.1429 2.8165 4.1513
2.1429 -2.8165 4.1513
2.1429 2.8165 -4.1513
Ni Sn Y
2 1 2
Direct
0.7124 0.5000 0.2124
0.2876 0.5000 0.7876
0.0000 0.0000 0.0000
0.7031 0.2031 0.5000
0.2969 0.7969 0.5000

(4)
PBE Y2NiSn, optimized geometry; ρ = 6.57 g/cm³; raw total energy = -5.66 eV/atom; calculated volume = 89.7 Å³ per cell
1.0
0.0000 3.5535 3.5535
3.5535 0.0000 3.5535
3.5535 3.5535 0.0000
Ni Sn Y
1 1 2
Direct
0.2500 0.2500 0.2500
0.5000 0.5000 0.5000
0.0000 0.0000 0.0000
0.7500 0.7500 0.7500